DFT (PBE-GGA) results for an optimized crystal structure of Zr3TcIr.

a = 4.980 Å, b = 4.980 Å, c = 4.980 Å
α = 90.00°, β = 90.00°, γ = 90.00°
Atoms (fractional coordinates):
Ir 0.000 0.000 0.000
Tc 0.500 0.500 0.500
Zr 0.000 0.500 0.000
Zr 0.000 0.000 0.500
Zr 0.500 0.000 0.000

As for the space group: Pm-3m. Its size of the total moment is 0.0 μB per formula unit. The calculation puts the formation enthalpy at 0 K at 683 meV per atom. The calculation puts the total energy at -8.291 eV per atom.

---

DFT (PBE-GGA) results for an optimized crystal structure of LaCoSn4.

a = 6.761 Å, b = 7.219 Å, c = 7.214 Å
α = 100.40°, β = 117.90°, γ = 89.97°
Atoms (fractional coordinates):
La 0.903 0.750 0.000
La 0.097 0.250 0.000
Co 0.500 0.000 0.500
Co 0.000 0.500 0.500
Sn 0.554 0.074 0.861
Sn 0.693 0.427 0.138
Sn 0.446 0.926 0.139
Sn 0.307 0.573 0.862
Sn 0.876 0.851 0.538
Sn 0.338 0.649 0.462
Sn 0.124 0.149 0.462
Sn 0.662 0.351 0.538

As for the space group: P-1. Its size of the total moment is 0.0 μB per formula unit. The calculation puts the formation enthalpy at 0 K at -251 meV per atom. The calculation puts the total energy at -4.925 eV per atom.

---

DFT (PBE-GGA) results for an optimized crystal structure of Ga3TcOs.

a = 4.749 Å, b = 4.749 Å, c = 4.749 Å
α = 90.00°, β = 90.00°, γ = 90.00°
Site moments in Bohr magnetons follow the coordinates.
Atoms (fractional coordinates):
Os 0.000 0.000 0.000  0.28
Tc 0.500 0.500 0.500  3.26
Ga 0.000 0.500 0.000  0.01
Ga 0.000 0.000 0.500  0.00
Ga 0.500 0.000 0.000  0.01

As for the space group: Pm-3m. Its size of the total moment is 4.0 μB per formula unit. The calculation puts the formation enthalpy at 0 K at 808 meV per atom. The calculation puts the total energy at -5.327 eV per atom.

---

Q: Which value of formation enthalpy at 0 K does entry 1 give?
A: 683 meV per atom